DFT (GGA-PBE) results for a relaxed LaZnO2F crystal.

a b c (Å): 4.592 4.592 4.615
angles (deg): 90.00 90.00 90.00
Space group P4/mmm (No. 123)
Inequivalent atoms, fractional coordinates:
La  0.000  0.000  0.000 (multiplicity 1)
Zn  0.500  0.500  0.500 (multiplicity 1)
O  0.000  0.500  0.000 (multiplicity 2)
F  0.000  0.000  0.500 (multiplicity 1)

* E_form (uncorrected): -167 kJ per mole of atoms

=====

DFT (GGA-PBE) results for a relaxed LaZnO2F crystal.

a b c (Å): 4.058 4.058 3.913
angles (deg): 90.00 90.00 90.00
Space group P4/mmm (No. 123)
Inequivalent atoms, fractional coordinates:
La  0.000  0.000  0.000 (multiplicity 1)
Zn  0.500  0.500  0.500 (multiplicity 1)
O  0.000  0.500  0.500 (multiplicity 2)
F  0.500  0.500  0.000 (multiplicity 1)

* E_form (uncorrected): -238 kJ per mole of atoms

=====

DFT (GGA-PBE) results for a relaxed LaZnOF2 crystal.

a b c (Å): 4.243 4.243 3.876
angles (deg): 90.00 90.00 90.00
Space group P4/mmm (No. 123)
Inequivalent atoms, fractional coordinates:
La  0.000  0.000  0.000 (multiplicity 1)
Zn  0.500  0.500  0.500 (multiplicity 1)
O  0.500  0.500  0.000 (multiplicity 1)
F  0.000  0.500  0.500 (multiplicity 2)

* offset from the most stable computed form: 76.8 meV/atom
* E_form (uncorrected): -225 kJ per mole of atoms